! KMn2BiO8 | Alexandria via LeMat-Bulk | PBE with a Hubbard U | optimized geometry; values from VASP
&SYSTEM
  ibrav = 0, nat = 12, ntyp = 4
/
ATOMIC_SPECIES
K 39.10 K.upf
Mn 54.94 Mn.upf
Bi 208.98 Bi.upf
O 16.00 O.upf
CELL_PARAMETERS angstrom
5.3554 0.0000 0.0000
-2.6777 4.6379 0.0000
0.0000 0.0000 8.2693
ATOMIC_POSITIONS angstrom
K 0.0000 0.0000 0.0000
Mn 0.0000 3.0919 6.1738
Mn 2.6777 1.5460 2.0955
Bi 0.0000 0.0000 4.1346
O -0.6752 1.6527 5.5991
O -0.9088 4.3962 5.5991
O 0.0000 3.0919 7.8002
O 1.0937 1.4111 2.6702
O 1.5840 3.2268 5.5991
O 2.6777 1.5460 0.4691
O 3.5865 0.2417 2.6702
O 3.3528 2.9852 2.6702
! space-group type = P-3, No. 147
! volume = 17.12 A^3/atom
! final energy = -5.917 eV per atom
! ρ = 3.93 Mg/m³
! crystal system = trigonal